Entry 1:
# TbNb2P3

A geometry-optimized TbNb2P3 structure (PBE, OQMD via LeMat-Bulk).

Computed properties:
Symmetry: No. 164
M_tot in μB/atom: 0.000

Cell lengths 3.751, 3.751, 8.972 Å; angles 90.00, 90.00, 120.00 degrees
Element x y z (fractional)
Nb  0.667  0.333  0.145
Nb  0.333  0.667  0.855
P  0.000  0.000  0.000
P  0.333  0.667  0.307
P  0.667  0.333  0.693
Tb  0.000  0.000  0.500

Entry 2:
# TbNbP

A geometry-optimized TbNbP structure (PBE, OQMD via LeMat-Bulk).

Computed properties:
Symmetry: No. 123
M_tot in μB/atom: 0.003

Cell lengths 3.848, 3.848, 4.769 Å; angles 90.00, 90.00, 90.00 degrees
Element x y z (fractional)
Nb  0.500  0.500  0.500
P  0.500  0.500  0.000
Tb  0.000  0.000  0.000

Entry 3:
# Tm2NbP

A geometry-optimized Tm2NbP structure (PBE, OQMD via LeMat-Bulk).

Computed properties:
Symmetry: No. 10
M_tot in μB/atom: 0.000

Cell lengths 5.315, 3.599, 8.878 Å; angles 90.00, 90.06, 90.00 degrees
Element x y z (fractional)
Nb  0.000  0.000  0.250
Nb  0.000  0.000  0.750
P  0.338  0.000  0.000
P  0.662  0.000  0.500
Tm  0.926  0.500  0.000
Tm  0.500  0.500  0.250
Tm  0.074  0.500  0.500
Tm  0.500  0.500  0.750

Entry 4:
# NbZnP2

A geometry-optimized NbZnP2 structure (PBE, OQMD via LeMat-Bulk).

Computed properties:
Symmetry: No. 194
M_tot in μB/atom: 0.001

Cell lengths 3.580, 3.580, 11.768 Å; angles 90.00, 90.00, 120.00 degrees
Element x y z (fractional)
Nb  0.000  0.000  0.250
Nb  0.000  0.000  0.750
P  0.333  0.667  0.124
P  0.333  0.667  0.376
P  0.667  0.333  0.624
P  0.667  0.333  0.876
Zn  0.000  0.000  0.000
Zn  0.000  0.000  0.500

Entry 5:
# ZrNbP

A geometry-optimized ZrNbP structure (PBE, OQMD via LeMat-Bulk).

Computed properties:
Energy relative to the lowest polymorph listed for this composition in eV per atom: 0.627
Symmetry: No. 194
M_tot in μB/atom: 0.009

Cell lengths 4.585, 4.585, 5.588 Å; angles 90.00, 90.00, 120.00 degrees
Element x y z (fractional)
Nb  0.333  0.667  0.250
Nb  0.667  0.333  0.750
P  0.667  0.333  0.250
P  0.333  0.667  0.750
Zr  0.000  0.000  0.000
Zr  0.000  0.000  0.500

Entry 6:
# ZrNbP

A geometry-optimized ZrNbP structure (PBE, OQMD via LeMat-Bulk).

Computed properties:
Energy relative to the lowest polymorph listed for this composition in eV per atom: 0.536
Symmetry: No. 194
M_tot in μB/atom: 0.002

Cell lengths 4.663, 4.663, 5.456 Å; angles 90.00, 90.00, 120.00 degrees
Element x y z (fractional)
Nb  0.000  0.000  0.000
Nb  0.000  0.000  0.500
P  0.333  0.667  0.250
P  0.667  0.333  0.750
Zr  0.667  0.333  0.250
Zr  0.333  0.667  0.750

Entry 7:
# ZrNbP

A geometry-optimized ZrNbP structure (PBE, OQMD via LeMat-Bulk).

Computed properties:
Energy relative to the lowest polymorph listed for this composition in eV per atom: 0.115
Symmetry: No. 189
M_tot in μB/atom: 0.006

Cell lengths 7.076, 7.076, 3.562 Å; angles 90.00, 90.00, 120.00 degrees
Element x y z (fractional)
Nb  0.253  0.000  0.000
Nb  0.000  0.253  0.000
Nb  0.747  0.747  0.000
P  0.667  0.333  0.000
P  0.333  0.667  0.000
P  0.000  0.000  0.500
Zr  0.592  0.000  0.500
Zr  0.408  0.408  0.500
Zr  0.000  0.592  0.500

Entry 8:
# ZrNbP

A geometry-optimized ZrNbP structure (PBE, OQMD via LeMat-Bulk).

Computed properties:
Energy relative to the lowest polymorph listed for this composition in eV per atom: 0.775
Symmetry: No. 189
M_tot in μB/atom: 0.038

Cell lengths 7.245, 7.245, 3.573 Å; angles 90.00, 90.00, 120.00 degrees
Last column: magnetic moment on the atom in μB.
Element x y z (fractional)
Nb  0.667  0.333  0.000  0.01
Nb  0.333  0.667  0.000  0.01
Nb  0.000  0.000  0.500  0.16
P  0.270  0.000  0.000  0.00
P  0.000  0.270  0.000  0.00
P  0.730  0.730  0.000  0.00
Zr  0.569  0.000  0.500  0.03
Zr  0.431  0.431  0.500  0.02
Zr  0.000  0.569  0.500  0.03

Entry 9:
# ZrNbP

A geometry-optimized ZrNbP structure (PBE, OQMD via LeMat-Bulk).

Computed properties:
Energy relative to the lowest polymorph listed for this composition in eV per atom: 0.000
Symmetry: No. 62
M_tot in μB/atom: 0.000

Cell lengths 6.919, 3.579, 8.332 Å; angles 90.00, 90.00, 90.00 degrees
Element x y z (fractional)
Nb  0.361  0.750  0.060
Nb  0.861  0.750  0.440
Nb  0.139  0.250  0.560
Nb  0.639  0.250  0.940
P  0.739  0.750  0.142
P  0.239  0.750  0.358
P  0.761  0.250  0.642
P  0.261  0.250  0.858
Zr  0.035  0.250  0.168
Zr  0.535  0.250  0.332
Zr  0.465  0.750  0.668
Zr  0.965  0.750  0.832

Entry 10:
# ZrNbP

A geometry-optimized ZrNbP structure (PBE, OQMD via LeMat-Bulk).

Computed properties:
Energy relative to the lowest polymorph listed for this composition in eV per atom: 0.625
Symmetry: No. 186
M_tot in μB/atom: 0.002

Cell lengths 4.569, 4.569, 5.663 Å; angles 90.00, 90.00, 120.00 degrees
Element x y z (fractional)
Nb  0.333  0.667  0.018
Nb  0.667  0.333  0.518
P  0.333  0.667  0.483
P  0.667  0.333  0.983
Zr  0.000  0.000  0.248
Zr  0.000  0.000  0.748

Entry 11:
# ZrNbP

A geometry-optimized ZrNbP structure (PBE, OQMD via LeMat-Bulk).

Computed properties:
Energy relative to the lowest polymorph listed for this composition in eV per atom: 0.376
Symmetry: No. 189
M_tot in μB/atom: 0.013

Cell lengths 7.149, 7.149, 3.530 Å; angles 90.00, 90.00, 120.00 degrees
Element x y z (fractional)
Nb  0.584  0.000  0.500
Nb  0.416  0.416  0.500
Nb  0.000  0.584  0.500
P  0.667  0.333  0.000
P  0.333  0.667  0.000
P  0.000  0.000  0.500
Zr  0.261  0.000  0.000
Zr  0.000  0.261  0.000
Zr  0.739  0.739  0.000

Entry 12:
# PaNb2Pb2

A geometry-optimized PaNb2Pb2 structure (PBE, OQMD via LeMat-Bulk).

Computed properties:
Energy relative to the lowest polymorph listed for this composition in eV per atom: 0.173
Symmetry: No. 139
M_tot in μB/atom: 0.228

Cell lengths 5.728, 5.728, 5.728 Å; angles 124.86, 124.86, 81.77 degrees
Element x y z (fractional)
Nb  0.363  0.363  0.000
Nb  0.637  0.637  0.000
Pa  0.000  0.000  0.000
Pb  0.750  0.250  0.500
Pb  0.250  0.750  0.500

Entry 13:
# PaNb2Pb2

A geometry-optimized PaNb2Pb2 structure (PBE, OQMD via LeMat-Bulk).

Computed properties:
Energy relative to the lowest polymorph listed for this composition in eV per atom: 0.000
Symmetry: No. 139
M_tot in μB/atom: 0.191

Cell lengths 4.108, 4.108, 7.724 Å; angles 105.42, 105.42, 90.00 degrees
Element x y z (fractional)
Nb  0.750  0.250  0.500
Nb  0.250  0.750  0.500
Pa  0.000  0.000  0.000
Pb  0.606  0.606  0.213
Pb  0.394  0.394  0.787

Entry 14:
# PaNbPd

A geometry-optimized PaNbPd structure (PBE, OQMD via LeMat-Bulk).

Computed properties:
Energy relative to the lowest polymorph listed for this composition in eV per atom: 0.000
Formation energy in eV per atom: 0.341
Symmetry: No. 216
M_tot in μB/atom: 0.000

Cell lengths 4.510, 4.510, 4.510 Å; angles 60.00, 60.00, 60.00 degrees
Element x y z (fractional)
Nb  0.000  0.000  0.000
Pa  0.250  0.250  0.250
Pd  0.750  0.750  0.750

Entry 15:
# PaNbPd

A geometry-optimized PaNbPd structure (PBE, OQMD via LeMat-Bulk).

Computed properties:
Energy relative to the lowest polymorph listed for this composition in eV per atom: 0.196
Formation energy in eV per atom: 0.537
Symmetry: No. 216
M_tot in μB/atom: 0.092

Cell lengths 4.574, 4.574, 4.574 Å; angles 60.00, 60.00, 60.00 degrees
Last column: magnetic moment on the atom in μB.
Element x y z (fractional)
Nb  0.500  0.500  0.500  0.17
Pa  0.250  0.250  0.250  0.07
Pd  0.000  0.000  0.000  0.01

Entry 16:
# PrPaNb

A geometry-optimized PrPaNb structure (PBE, OQMD via LeMat-Bulk).

Computed properties:
Energy relative to the lowest polymorph listed for this composition in eV per atom: 0.000
Formation energy in eV per atom: 0.764
Symmetry: No. 216
M_tot in μB/atom: 0.007

Cell lengths 4.956, 4.956, 4.956 Å; angles 60.00, 60.00, 60.00 degrees
Element x y z (fractional)
Nb  0.000  0.000  0.000
Pa  0.250  0.250  0.250
Pr  0.750  0.750  0.750

Entry 17:
# PaNbPt

A geometry-optimized PaNbPt structure (PBE, OQMD via LeMat-Bulk).

Computed properties:
Energy relative to the lowest polymorph listed for this composition in eV per atom: 0.239
Formation energy in eV per atom: 0.285
Symmetry: No. 216
M_tot in μB/atom: 0.187

Cell lengths 4.594, 4.594, 4.594 Å; angles 60.00, 60.00, 60.00 degrees
Element x y z (fractional)
Nb  0.250  0.250  0.250
Pa  0.000  0.000  0.000
Pt  0.750  0.750  0.750

Entry 18:
# PaNbPt

A geometry-optimized PaNbPt structure (PBE, OQMD via LeMat-Bulk).

Computed properties:
Energy relative to the lowest polymorph listed for this composition in eV per atom: 0.000
Formation energy in eV per atom: 0.047
Symmetry: No. 216
M_tot in μB/atom: 0.716

Cell lengths 4.629, 4.629, 4.629 Å; angles 60.00, 60.00, 60.00 degrees
Element x y z (fractional)
Nb  0.250  0.250  0.250
Pa  0.750  0.750  0.750
Pt  0.000  0.000  0.000

Entry 19:
# PaNbRe

A geometry-optimized PaNbRe structure (PBE, OQMD via LeMat-Bulk).

Computed properties:
Energy relative to the lowest polymorph listed for this composition in eV per atom: 0.000
Formation energy in eV per atom: 0.536
Symmetry: No. 216
M_tot in μB/atom: 0.001

Cell lengths 4.504, 4.504, 4.504 Å; angles 60.00, 60.00, 60.00 degrees
Element x y z (fractional)
Nb  0.000  0.000  0.000
Pa  0.250  0.250  0.250
Re  0.750  0.750  0.750

Entry 20:
# PaNbRe

A geometry-optimized PaNbRe structure (PBE, OQMD via LeMat-Bulk).

Computed properties:
Energy relative to the lowest polymorph listed for this composition in eV per atom: 0.359
Formation energy in eV per atom: 0.895
Symmetry: No. 216
M_tot in μB/atom: 0.001

Cell lengths 4.482, 4.482, 4.482 Å; angles 60.00, 60.00, 60.00 degrees
Element x y z (fractional)
Nb  0.250  0.250  0.250
Pa  0.000  0.000  0.000
Re  0.750  0.750  0.750

Entry 21:
# PaNbSb

A geometry-optimized PaNbSb structure (PBE, OQMD via LeMat-Bulk).

Computed properties:
Energy relative to the lowest polymorph listed for this composition in eV per atom: 0.000
Symmetry: No. 216
M_tot in μB/atom: 0.162

Cell lengths 4.757, 4.757, 4.757 Å; angles 60.00, 60.00, 60.00 degrees
Last column: magnetic moment on the atom in μB.
Element x y z (fractional)
Nb  0.000  0.000  0.000  0.20
Pa  0.250  0.250  0.250  0.22
Sb  0.750  0.750  0.750  0.00

Entry 22:
# PaNbSb

A geometry-optimized PaNbSb structure (PBE, OQMD via LeMat-Bulk).

Computed properties:
Energy relative to the lowest polymorph listed for this composition in eV per atom: 0.695
Symmetry: No. 216
M_tot in μB/atom: 0.198

Cell lengths 4.908, 4.908, 4.908 Å; angles 60.00, 60.00, 60.00 degrees
Element x y z (fractional)
Nb  0.250  0.250  0.250
Pa  0.000  0.000  0.000
Sb  0.750  0.750  0.750

Entry 23:
# ScPaNb

A geometry-optimized ScPaNb structure (PBE, OQMD via LeMat-Bulk).

Computed properties:
Energy relative to the lowest polymorph listed for this composition in eV per atom: 0.000
Formation energy in eV per atom: 0.575
Symmetry: No. 216
M_tot in μB/atom: 0.001

Cell lengths 4.730, 4.730, 4.730 Å; angles 60.00, 60.00, 60.00 degrees
Element x y z (fractional)
Nb  0.000  0.000  0.000
Pa  0.250  0.250  0.250
Sc  0.750  0.750  0.750

Entry 24:
# ScPaNb

A geometry-optimized ScPaNb structure (PBE, OQMD via LeMat-Bulk).

Computed properties:
Energy relative to the lowest polymorph listed for this composition in eV per atom: 0.559
Formation energy in eV per atom: 1.134
Symmetry: No. 216
M_tot in μB/atom: 0.024

Cell lengths 4.753, 4.753, 4.753 Å; angles 60.00, 60.00, 60.00 degrees
Element x y z (fractional)
Nb  0.250  0.250  0.250
Pa  0.000  0.000  0.000
Sc  0.750  0.750  0.750

Entry 25:
# SmPaNb

A geometry-optimized SmPaNb structure (PBE, OQMD via LeMat-Bulk).

Computed properties:
Energy relative to the lowest polymorph listed for this composition in eV per atom: 0.000
Formation energy in eV per atom: 0.722
Symmetry: No. 216
M_tot in μB/atom: 0.023

Cell lengths 4.913, 4.913, 4.913 Å; angles 60.00, 60.00, 60.00 degrees
Element x y z (fractional)
Nb  0.000  0.000  0.000
Pa  0.750  0.750  0.750
Sm  0.250  0.250  0.250

Entry 26:
# PaNbSn

A geometry-optimized PaNbSn structure (PBE, OQMD via LeMat-Bulk).

Computed properties:
Energy relative to the lowest polymorph listed for this composition in eV per atom: 0.719
Symmetry: No. 216
M_tot in μB/atom: 0.070

Cell lengths 4.895, 4.895, 4.895 Å; angles 60.00, 60.00, 60.00 degrees
Element x y z (fractional)
Nb  0.250  0.250  0.250
Pa  0.000  0.000  0.000
Sn  0.750  0.750  0.750

Entry 27:
# PaNbSn

A geometry-optimized PaNbSn structure (PBE, OQMD via LeMat-Bulk).

Computed properties:
Energy relative to the lowest polymorph listed for this composition in eV per atom: 0.000
Symmetry: No. 216
M_tot in μB/atom: 0.001

Cell lengths 4.761, 4.761, 4.761 Å; angles 60.00, 60.00, 60.00 degrees
Element x y z (fractional)
Nb  0.000  0.000  0.000
Pa  0.250  0.250  0.250
Sn  0.750  0.750  0.750

Entry 28:
# SrPaNb

A geometry-optimized SrPaNb structure (PBE, OQMD via LeMat-Bulk).

Computed properties:
Energy relative to the lowest polymorph listed for this composition in eV per atom: 0.000
Symmetry: No. 216
M_tot in μB/atom: 0.004

Cell lengths 5.012, 5.012, 5.012 Å; angles 60.00, 60.00, 60.00 degrees
Element x y z (fractional)
Nb  0.000  0.000  0.000
Pa  0.750  0.750  0.750
Sr  0.250  0.250  0.250

Entry 29:
# PaTaNb

A geometry-optimized PaTaNb structure (PBE, OQMD via LeMat-Bulk).

Computed properties:
Formation energy in eV per atom: 0.623
Symmetry: No. 216
M_tot in μB/atom: 0.124

Cell lengths 4.645, 4.645, 4.645 Å; angles 60.00, 60.00, 60.00 degrees
Last column: magnetic moment on the atom in μB.
Element x y z (fractional)
Nb  0.000  0.000  0.000  -0.01
Pa  0.250  0.250  0.250  0.17
Ta  0.750  0.750  0.750  0.13

| no. | energy (eV per formula unit) |
| --- | --- |
| 1 | -46.6 |
| 2 | -21.3 |
| 3 | -25.5 |
| 4 | -23.9 |
| 5 | -25.4 |
| 6 | -25.7 |
| 7 | -27.0 |
| 8 | -25.0 |
| 9 | -27.3 |
| 10 | -25.4 |
| 11 | -26.2 |
| 12 | -34.6 |
| 13 | -35.4 |
| 14 | -23.7 |
| 15 | -23.2 |
| 16 | -22.1 |
| 17 | -24.8 |
| 18 | -25.5 |
| 19 | -30.4 |
| 20 | -29.3 |
| 21 | -23.1 |
| 22 | -21.1 |
| 23 | -24.2 |
| 24 | -22.5 |
| 25 | -22.1 |
| 26 | -20.5 |
| 27 | -22.7 |
| 28 | -17.5 |
| 29 | -29.6 |